Record 1
First-principles (PBE-GGA) data for a relaxed BaCa2RuN4 crystal, as listed in Alexandria via LeMat-Bulk.

V = 300 Å³ per cell
Formation energy (no corrections) = -3.56 eV/f.u.
Symmetry = No. 31
Size of the total moment = 3.9 Bohr magnetons per cell
D(E_F) = 3.23 states/eV/cell

```
BaCa2RuN4
1.0
7.822 0.000 0.000
0.000 6.408 0.000
0.000 0.000 5.981
Ba Ca Ru N
2 4 2 8
Cartesian
0.000 0.845 0.000
3.911 5.563 2.990
1.894 2.173 3.067
2.017 4.234 0.076
5.805 4.234 0.076
5.928 2.173 3.067
0.000 5.185 3.133
3.911 1.223 0.143
0.000 0.666 2.956
0.000 4.798 4.973
1.521 4.408 2.376
2.391 2.000 5.366
3.911 1.610 1.983
3.911 5.742 5.947
5.432 2.000 5.366
6.302 4.408 2.376
```


Record 2
First-principles (PBE-GGA) data for a relaxed KSm2USe5 crystal, as listed in Alexandria via LeMat-Bulk.

V = 285 Å³ per cell
Formation energy (no corrections) = -13.02 eV/f.u.
Symmetry = No. 71
Size of the total moment = 2.7 Bohr magnetons per cell
D(E_F) = 7.02 states/eV/cell

```
KSm2USe5
1.0
-2.640 3.741 7.213
2.640 -3.741 7.213
2.640 3.741 -7.213
K Sm U Se
1 2 1 5
Cartesian
0.000 0.000 0.000
2.640 0.000 4.290
0.000 3.741 2.923
0.000 0.000 7.213
2.640 1.949 -2.201
2.640 1.949 2.201
0.000 3.741 0.000
0.000 1.792 5.012
0.000 1.792 9.414
```


Record 3
First-principles (PBE-GGA) data for a relaxed CeNd2Y3S6 crystal, as listed in Alexandria via LeMat-Bulk.

V = 269 Å³ per cell
Formation energy (no corrections) = -24.24 eV/f.u.
Symmetry = No. 12
Size of the total moment = 1.0 Bohr magnetons per cell
D(E_F) = 9.92 states/eV/cell

```
CeNd2Y3S6
1.0
8.715 -1.979 0.000
8.715 1.979 0.000
-1.954 0.000 7.801
Ce Nd Y S
1 2 3 6
Cartesian
0.000 0.000 0.000
4.517 0.000 5.215
10.959 0.000 2.586
-0.977 0.000 3.901
5.478 0.000 1.287
9.997 0.000 6.514
1.702 0.000 4.615
2.801 0.000 0.586
8.154 0.000 1.997
7.321 0.000 5.804
12.675 0.000 7.215
13.774 0.000 3.186
```


Record 4
First-principles (PBE-GGA) data for a relaxed VPSe2Br crystal, as listed in Alexandria via LeMat-Bulk.

V = 120 Å³ per cell
Formation energy (no corrections) = 1.86 eV/f.u.
Symmetry = No. 123
Polymorph energy (0 for the lowest one) = 0.00 eV/f.u.
Size of the total moment = 3.1 Bohr magnetons per cell
D(E_F) = 2.48 states/eV/cell

```
VPSe2Br
1.0
4.874 0.000 0.000
0.000 4.874 0.000
0.000 0.000 5.056
V P Se Br
1 1 2 1
Cartesian
0.000 0.000 0.000
2.437 2.437 2.528
0.000 2.437 0.000
2.437 0.000 0.000
0.000 0.000 2.528
```


Record 5
First-principles (PBE-GGA) data for a relaxed MgSb2W crystal, as listed in Alexandria via LeMat-Bulk.

V = 86 Å³ per cell
Formation energy (no corrections) = 1.50 eV/f.u.
Symmetry = No. 12
Polymorph energy (0 for the lowest one) = 0.58 eV/f.u.
Size of the total moment = 0.0 Bohr magnetons per cell
D(E_F) = 2.39 states/eV/cell

```
MgSb2W
1.0
4.590 -1.682 0.000
4.590 1.682 0.000
-0.977 0.000 5.571
Mg Sb W
1 2 1
Cartesian
0.000 0.000 0.000
1.406 0.000 4.016
6.797 0.000 1.555
4.101 0.000 2.785
```


Record 6
First-principles (PBE-GGA) data for a relaxed TlAs2Cl crystal, as listed in Alexandria via LeMat-Bulk.

V = 90 Å³ per cell
Formation energy (no corrections) = 1.54 eV/f.u.
Symmetry = No. 166
Polymorph energy (0 for the lowest one) = 3.01 eV/f.u.
Size of the total moment = 0.0 Bohr magnetons per cell
D(E_F) = 2.97 states/eV/cell

```
TlAs2Cl
1.0
1.639 0.947 9.617
-1.639 0.947 9.617
0.000 -1.893 9.617
Tl As Cl
1 2 1
Cartesian
0.000 0.000 0.000
0.000 0.000 7.061
0.000 0.000 21.789
0.000 0.000 14.425
```


Record 7
First-principles (PBE-GGA) data for a relaxed Pm2CdP crystal, as listed in Alexandria via LeMat-Bulk.

V = 113 Å³ per cell
Symmetry = No. 166
Polymorph energy (0 for the lowest one) = 0.00 eV/f.u.
E_form = -0.869 eV/atom
Size of the total moment = 0.0 Bohr magnetons per cell
D(E_F) = 3.82 states/eV/cell

```
Pm2CdP
1.0
2.030 1.172 7.908
-2.030 1.172 7.908
0.000 -2.345 7.908
Pm Cd P
2 1 1
Cartesian
0.000 0.000 5.567
0.000 0.000 18.157
0.000 0.000 0.000
0.000 0.000 11.862
```


Record 8
First-principles (PBE-GGA) data for a relaxed DyTc2N4 crystal, as listed in Alexandria via LeMat-Bulk.

V = 156 Å³ per cell
Formation energy (no corrections) = -2.97 eV/f.u.
Symmetry = No. 63
Size of the total moment = 0.0 Bohr magnetons per cell
D(E_F) = 6.91 states/eV/cell

```
DyTc2N4
1.0
1.600 -4.874 0.000
1.600 4.874 0.000
0.000 0.000 9.995
Dy Tc N
2 4 8
Cartesian
1.600 3.624 7.496
1.600 -3.624 2.499
1.600 1.113 5.639
1.600 1.113 9.353
1.600 -1.113 0.642
1.600 -1.113 4.356
0.000 0.000 0.000
0.000 0.000 4.998
1.600 2.323 1.063
1.600 2.323 3.935
1.600 0.624 7.496
1.600 -0.624 2.499
1.600 -2.323 6.060
1.600 -2.323 8.932
```